The following is a DFT calculation (PBE) of a relaxed structure of HoHf2Sc9.

Computed properties:
DFT formation energy: 0.029 eV per atom
Total magnetic moment: 0.00 μB/f.u.
Final energy: -6.760 eV/atom
Space-group type: P6/mmm

Lattice parameters (Å, degrees): 3.2281 10.2907 10.2907 120.00 90.00 90.00
Fractional coordinates of all 12 atoms:
Sc1 0.0000 0.5000 0.5000
Sc2 0.0000 0.0000 0.5000
Sc3 0.5000 0.3628 0.1814
Sc4 0.5000 0.8186 0.6372
Sc5 0.5000 0.6372 0.8186
Sc6 0.0000 0.5000 0.0000
Sc7 0.5000 0.8186 0.1814
Sc8 0.5000 0.1814 0.8186
Sc9 0.5000 0.1814 0.3628
Hf1 0.0000 0.3333 0.6667
Hf2 0.0000 0.6667 0.3333
Ho1 0.0000 0.0000 0.0000